No. 1
Ac2Pm2Pr | PBE-GGA | relaxed

Unit cell a=9.6847 b=9.6847 c=6.6066 alpha=106.56 beta=106.56 gamma=41.46
Fractional coordinates of all 10 atoms:
Ac 0.0469 0.3386 0.1964
Ac 0.3386 0.0469 0.6964
Ac 0.6614 0.9531 0.3036
Ac 0.9531 0.6614 0.8036
Pm 0.2920 0.5299 0.3395
Pm 0.4701 0.7080 0.1605
Pm 0.5299 0.2920 0.8395
Pm 0.7080 0.4701 0.6605
Pr 0.0818 0.9182 0.7500
Pr 0.9182 0.0818 0.2500

Computed properties:
The calculation puts the formation energy at 0.0773 eV/atom. The energy above the most stable polymorph in this dataset comes out at 0 kJ/mol of formula units. As for the symmetry: C2/c.



No. 2
Sm2Dy6Pu | PBE-GGA | relaxed

Unit cell a=6.1902 b=10.1594 c=10.1668 alpha=63.69 beta=84.28 gamma=84.22
Fractional coordinates of all 18 atoms:
Sm 0.1332 0.2544 0.4172
Sm 0.3603 0.9143 0.4161
Sm 0.6397 0.0857 0.5839
Sm 0.8668 0.7456 0.5828
Dy 0.1391 0.9152 0.7530
Dy 0.1415 0.5836 0.0832
Dy 0.2478 0.2528 0.7502
Dy 0.2506 0.9140 0.0843
Dy 0.3610 0.2499 0.0839
Dy 0.3649 0.5809 0.7495
Dy 0.6351 0.4191 0.2505
Dy 0.6390 0.7501 0.9161
Dy 0.7494 0.0860 0.9157
Dy 0.7522 0.7472 0.2498
Dy 0.8585 0.4164 0.9168
Dy 0.8609 0.0848 0.2470
Pu 0.2519 0.5808 0.4177
Pu 0.7481 0.4192 0.5823

Computed properties:
The calculation puts the formation energy at 0.0416 eV/atom. As for the symmetry: P-1.



No. 3
SiH3Cl2 | PBE-GGA | relaxed

Unit cell a=6.8825 b=6.8825 c=4.8204 alpha=94.10 beta=94.10 gamma=63.71
Fractional coordinates of all 12 atoms:
Si 0.0444 0.9556 0.7500
Si 0.9556 0.0444 0.2500
H 0.0948 0.0950 0.0193
H 0.0950 0.0948 0.5193
H 0.2485 0.7515 0.7500
H 0.7515 0.2485 0.2500
H 0.9050 0.9052 0.4807
H 0.9052 0.9050 0.9807
Cl 0.2933 0.3510 0.3216
Cl 0.3510 0.2933 0.8216
Cl 0.6490 0.7067 0.1784
Cl 0.7067 0.6490 0.6784

Computed properties:
As for the energy: -3.049 eV per atom. As for the symmetry: C2/c.



No. 4
PaMnNb | PBE-GGA | relaxed

Unit cell a=4.4871 b=4.4871 c=3.0117 alpha=90.00 beta=90.00 gamma=120.00
Fractional coordinates of all 3 atoms:
Pa 0.0000 0.0000 0.0000
Mn 0.3333 0.6667 0.7149
Nb 0.6667 0.3333 0.3140

Computed properties:
The calculation puts the formation energy at 0.2089 eV/atom. The energy above the most stable polymorph in this dataset comes out at 26 kJ/mol of formula units. As for the symmetry: P3m1.



No. 5
GdPaPt | PBE-GGA | relaxed

Unit cell a=4.7400 b=4.7400 c=3.5888 alpha=90.00 beta=90.00 gamma=120.00
Fractional coordinates of all 3 atoms:
Gd 0.0000 0.0000 0.0000
Pa 0.3333 0.6667 0.3675
Pt 0.6667 0.3333 0.6148

Computed properties:
The calculation puts the formation energy at -0.3630 eV/atom. The energy above the most stable polymorph in this dataset comes out at 62 kJ/mol of formula units. As for the symmetry: P3m1.



No. 6
K3Pm3ErTe8 | PBE-GGA | relaxed

Unit cell a=9.9612 b=9.9612 c=9.9612 alpha=53.39 beta=53.39 gamma=53.39
Fractional coordinates of all 15 atoms:
K 0.0000 0.5000 0.5000
K 0.5000 0.0000 0.5000
K 0.5000 0.5000 0.0000
Pm 0.0000 0.0000 0.5000
Pm 0.0000 0.5000 0.0000
Pm 0.5000 0.0000 0.0000
Er 0.5000 0.5000 0.5000
Te 0.2382 0.2382 0.2382
Te 0.2428 0.7330 0.7330
Te 0.2670 0.2670 0.7572
Te 0.2670 0.7572 0.2670
Te 0.7330 0.2428 0.7330
Te 0.7330 0.7330 0.2428
Te 0.7572 0.2670 0.2670
Te 0.7618 0.7618 0.7618

Computed properties:
The value obtained for the formation energy from raw total energies is -1324 meV per atom. As for the symmetry: R-3m.



No. 7
NaAlIr2 | PBE-GGA | relaxed

Unit cell a=4.4759 b=4.4759 c=17.4897 alpha=90.00 beta=90.00 gamma=90.00
Fractional coordinates of all 16 atoms:
Na 0.0000 0.0000 0.0000
Na 0.0000 0.5000 0.2500
Na 0.5000 0.0000 0.7500
Na 0.5000 0.5000 0.5000
Al 0.0000 0.0000 0.5000
Al 0.0000 0.5000 0.7500
Al 0.5000 0.0000 0.2500
Al 0.5000 0.5000 0.0000
Ir 0.1028 0.2500 0.6250
Ir 0.2500 0.6028 0.8750
Ir 0.2500 0.8972 0.3750
Ir 0.3972 0.2500 0.1250
Ir 0.6028 0.7500 0.1250
Ir 0.7500 0.1028 0.3750
Ir 0.7500 0.3972 0.8750
Ir 0.8972 0.7500 0.6250

Computed properties:
The calculation puts the formation energy at 0.3790 eV/atom. The energy above the most stable polymorph in this dataset comes out at 139 kJ/mol of formula units. As for the symmetry: I-42d.



No. 8
CdHgS3 | PBE-GGA | relaxed

Unit cell a=5.0021 b=5.0021 c=5.0021 alpha=90.00 beta=90.00 gamma=90.00
Fractional coordinates of all 5 atoms:
Cd 0.0000 0.0000 0.0000
Hg 0.5000 0.5000 0.5000
S 0.0000 0.0000 0.5000
S 0.0000 0.5000 0.0000
S 0.5000 0.0000 0.0000

Computed properties:
The value obtained for the formation energy from raw total energies is 717 meV per atom. As for the symmetry: Pm-3m.



No. 9
NaAcPb2 | PBE-GGA | relaxed

Unit cell a=3.6747 b=3.6747 c=34.0369 alpha=90.00 beta=90.00 gamma=120.00
Fractional coordinates of all 12 atoms:
Na 0.0000 0.0000 0.0000
Na 0.3333 0.6667 0.6667
Na 0.6667 0.3333 0.3333
Ac 0.0000 0.0000 0.5000
Ac 0.3333 0.6667 0.1667
Ac 0.6667 0.3333 0.8333
Pb 0.0000 0.0000 0.2546
Pb 0.0000 0.0000 0.7454
Pb 0.3333 0.6667 0.4120
Pb 0.3333 0.6667 0.9213
Pb 0.6667 0.3333 0.0787
Pb 0.6667 0.3333 0.5880

Computed properties:
The calculation puts the formation energy at -0.1648 eV/atom. As for the symmetry: R-3m.



No. 10
ThZn2H | PBE-GGA | relaxed

Unit cell a=5.9824 b=5.9602 c=8.0114 alpha=90.00 beta=111.83 gamma=90.00
Fractional coordinates of all 16 atoms:
Th 0.1697 0.0000 0.3411
Th 0.3303 0.5000 0.6589
Th 0.6697 0.5000 0.3411
Th 0.8303 0.0000 0.6589
Zn 0.1040 0.5000 0.2089
Zn 0.2500 0.2500 0.0000
Zn 0.2500 0.7500 0.0000
Zn 0.3960 0.0000 0.7911
Zn 0.6040 0.0000 0.2089
Zn 0.7500 0.2500 0.0000
Zn 0.7500 0.7500 0.0000
Zn 0.8960 0.5000 0.7911
H 0.0000 0.2507 0.5000
H 0.0000 0.7493 0.5000
H 0.5000 0.2493 0.5000
H 0.5000 0.7507 0.5000

Computed properties:
As for the energy: -3.711 eV per atom. As for the symmetry: C2/m.



No. 11
Ac3Nd2Tl4 | PBE-GGA | relaxed

Unit cell a=8.9537 b=8.9537 c=10.5898 alpha=90.00 beta=90.00 gamma=128.09
Fractional coordinates of all 18 atoms:
Ac 0.0000 0.0000 0.0000
Ac 0.0352 0.4648 0.2500
Ac 0.4648 0.0352 0.7500
Ac 0.5000 0.5000 0.5000
Ac 0.5352 0.9648 0.2500
Ac 0.9648 0.5352 0.7500
Nd 0.1012 0.8988 0.4518
Nd 0.3988 0.6012 0.9518
Nd 0.6012 0.3988 0.0482
Nd 0.8988 0.1012 0.5482
Tl 0.2029 0.7971 0.0189
Tl 0.2440 0.2560 0.7500
Tl 0.2560 0.2440 0.2500
Tl 0.2971 0.7029 0.5189
Tl 0.7029 0.2971 0.4811
Tl 0.7440 0.7560 0.7500
Tl 0.7560 0.7440 0.2500
Tl 0.7971 0.2029 0.9811

Computed properties:
The calculation puts the formation energy at -0.1670 eV/atom. The energy above the most stable polymorph in this dataset comes out at 114 kJ/mol of formula units. As for the symmetry: Cmce.



No. 12
Zr2HgRu | PBE-GGA | relaxed

Unit cell a=5.7970 b=3.3647 c=8.8187 alpha=90.00 beta=102.92 gamma=90.00
Fractional coordinates of all 8 atoms:
Zr 0.2390 0.0000 0.2170
Zr 0.2610 0.5000 0.7830
Zr 0.7390 0.5000 0.2170
Zr 0.7610 0.0000 0.7830
Hg 0.0000 0.0000 0.5000
Hg 0.5000 0.5000 0.5000
Ru 0.0000 0.5000 0.0000
Ru 0.5000 0.0000 0.0000

Computed properties:
The calculation puts the formation energy at -0.1818 eV/atom. As for the symmetry: C2/m.



No. 13
Ca2Ce3Pt4 | PBE-GGA | relaxed

Unit cell a=7.9197 b=7.7783 c=7.6537 alpha=90.00 beta=110.20 gamma=90.00
Fractional coordinates of all 18 atoms:
Ca 0.1908 0.1773 0.0713
Ca 0.1908 0.3227 0.5713
Ca 0.8092 0.6773 0.4287
Ca 0.8092 0.8227 0.9287
Ce 0.2394 0.6620 0.2452
Ce 0.2394 0.8380 0.7452
Ce 0.5000 0.0000 0.5000
Ce 0.5000 0.5000 0.0000
Ce 0.7606 0.1620 0.2548
Ce 0.7606 0.3380 0.7548
Pt 0.0900 0.5418 0.8573
Pt 0.0900 0.9582 0.3573
Pt 0.4947 0.6313 0.6302
Pt 0.4947 0.8687 0.1302
Pt 0.5053 0.1313 0.8698
Pt 0.5053 0.3687 0.3698
Pt 0.9100 0.0418 0.6427
Pt 0.9100 0.4582 0.1427

Computed properties:
The calculation puts the formation energy at -0.9625 eV/atom. As for the symmetry: P2_1/c.



No. 14
ErTlIO6 | PBE-GGA | relaxed

Unit cell a=5.6648 b=5.6648 c=9.9937 alpha=90.00 beta=90.00 gamma=120.00
Fractional coordinates of all 18 atoms:
Er 0.3333 0.6667 0.2500
Er 0.6667 0.3333 0.7500
Tl 0.0000 0.0000 0.0000
Tl 0.0000 0.0000 0.5000
I 0.3333 0.6667 0.7500
I 0.6667 0.3333 0.2500
O 0.0443 0.3953 0.6426
O 0.0443 0.6490 0.8574
O 0.3510 0.3953 0.8574
O 0.3510 0.9557 0.6426
O 0.3953 0.0443 0.1426
O 0.3953 0.3510 0.3574
O 0.6047 0.6490 0.6426
O 0.6047 0.9557 0.8574
O 0.6490 0.0443 0.3574
O 0.6490 0.6047 0.1426
O 0.9557 0.3510 0.1426
O 0.9557 0.6047 0.3574

Computed properties:
The value obtained for the formation energy from raw total energies is -1254 meV per atom. As for the symmetry: P-31c.



No. 15
PrNdEr2Tm | PBE-GGA | relaxed

Unit cell a=8.9695 b=8.9695 c=6.4018 alpha=90.00 beta=90.00 gamma=138.14
Fractional coordinates of all 10 atoms:
Pr 0.1577 0.8423 0.7500
Pr 0.8423 0.1577 0.2500
Nd 0.3431 0.6569 0.7500
Nd 0.6569 0.3431 0.2500
Er 0.2500 0.2500 0.0000
Er 0.2500 0.2500 0.5000
Er 0.7500 0.7500 0.0000
Er 0.7500 0.7500 0.5000
Tm 0.2497 0.7503 0.2500
Tm 0.7503 0.2497 0.7500

Computed properties:
The calculation puts the formation energy at 0.3521 eV/atom. As for the symmetry: Cmcm.



No. 16
TaW2Cl | PBE-GGA | relaxed

Unit cell a=3.0968 b=3.0968 c=7.6964 alpha=90.00 beta=90.00 gamma=90.00
Fractional coordinates of all 4 atoms:
Ta 0.0000 0.0000 0.0000
W 0.0000 0.0000 0.4199
W 0.5000 0.5000 0.2280
Cl 0.5000 0.5000 0.7531

Computed properties:
The energy above the most stable polymorph in this dataset comes out at 65 kJ/mol of formula units. The value obtained for the formation energy from raw total energies is 405 meV per atom. As for the symmetry: P4mm.



No. 17
Cd2IrPd2 | PBE-GGA | relaxed

Unit cell a=6.8119 b=6.8119 c=3.9119 alpha=90.00 beta=90.00 gamma=90.00
Fractional coordinates of all 10 atoms:
Cd 0.1708 0.3292 0.0000
Cd 0.3292 0.8292 0.0000
Cd 0.6708 0.1708 0.0000
Cd 0.8292 0.6708 0.0000
Ir 0.0000 0.0000 0.5000
Ir 0.5000 0.5000 0.5000
Pd 0.1344 0.6344 0.5000
Pd 0.3656 0.1344 0.5000
Pd 0.6344 0.8656 0.5000
Pd 0.8656 0.3656 0.5000

Computed properties:
The calculation puts the formation energy at 0.1157 eV/atom. As for the symmetry: P4/mbm.



No. 18
Rb3NaRe | PBE-GGA | relaxed

Unit cell a=6.8505 b=6.8505 c=6.8505 alpha=90.00 beta=90.00 gamma=90.00
Fractional coordinates of all 5 atoms:
Rb 0.0000 0.0000 0.5000
Rb 0.0000 0.5000 0.0000
Rb 0.5000 0.0000 0.0000
Na 0.5000 0.5000 0.5000
Re 0.0000 0.0000 0.0000

Computed properties:
The calculation puts the formation energy at 1.3172 eV/atom. The energy above the most stable polymorph in this dataset comes out at 0 kJ/mol of formula units. As for the symmetry: Pm-3m.



No. 19
BaNaSnRh2 | PBE-GGA | relaxed

Unit cell a=5.1449 b=5.1449 c=5.4874 alpha=90.00 beta=90.00 gamma=90.00
Fractional coordinates of all 5 atoms:
Ba 0.0000 0.0000 0.0000
Na 0.0000 0.0000 0.5000
Sn 0.5000 0.5000 0.5000
Rh 0.0000 0.5000 0.0000
Rh 0.5000 0.0000 0.0000

Computed properties:
The calculation puts the formation energy at 1.0836 eV/atom. As for the symmetry: P4/mmm.



No. 20
VCu2Tc | PBE-GGA | relaxed

Unit cell a=5.9664 b=5.9664 c=5.9664 alpha=90.00 beta=90.00 gamma=90.00
Fractional coordinates of all 16 atoms:
V 0.0000 0.0000 0.0000
V 0.0000 0.5000 0.5000
V 0.5000 0.0000 0.5000
V 0.5000 0.5000 0.0000
Cu 0.2500 0.2500 0.2500
Cu 0.2500 0.2500 0.7500
Cu 0.2500 0.7500 0.2500
Cu 0.2500 0.7500 0.7500
Cu 0.7500 0.2500 0.2500
Cu 0.7500 0.2500 0.7500
Cu 0.7500 0.7500 0.2500
Cu 0.7500 0.7500 0.7500
Tc 0.0000 0.0000 0.5000
Tc 0.0000 0.5000 0.0000
Tc 0.5000 0.0000 0.0000
Tc 0.5000 0.5000 0.5000

Computed properties:
The calculation puts the formation energy at 0.3422 eV/atom. The energy above the most stable polymorph in this dataset comes out at 0 kJ/mol of formula units. As for the symmetry: Fm-3m.



So what do the calculations give for M_tot? Going down the list: 0.00 12.37 0.76 0.01 7.00 0.00 1.53 0.00 0.00 0.00 0.00 0.00 5.00 0.00 0.00 0.00 0.81 3.09 0.00 3.01 μB/cell.